Here is a relaxed structure of Sr2VPbO6 from Alexandria via LeMat-Bulk. Energies are from PBE+U.

Values from the calculation:
space group = C2/m, No. 12
E = -6.49 eV per atom
magnetization = 0.000 μB/atom

Cell: 5.901 5.792 5.902 Å, 119.39 121.56 90.00°
Element x y z (fractional)
1 Pb 0.000 0.500 0.000
2 V 0.500 0.000 0.000
3 Sr 0.241 0.255 0.509
4 Sr 0.759 0.745 0.491
5 O 0.225 0.179 0.894
6 O 0.775 0.285 0.106
7 O 0.368 0.777 0.554
8 O 0.632 0.223 0.446
9 O 0.225 0.715 0.894
10 O 0.775 0.821 0.106